{"formula": "LiCuAg2", "functional": "GGA-PBE", "state": "relaxed", "total_energy_ev_per_atom": -2.96, "sg": "C2/m (12)", "delta_e_f_ev_per_atom": -0.03, "lattice": [[4.5130, -1.4517, 0.0000], [4.5130, 1.4517, 0.0000], [-0.8860, 0.0000, 4.8475]], "species": ["Li", "Cu", "Ag", "Ag"], "fractional_positions": [[0.0000, 0.0000, 0.0000], [0.5000, 0.5000, 0.5000], [0.2428, 0.2428, 0.7460], [0.7572, 0.7572, 0.2540]]}